(1)
{"formula": "Tm2FeCu", "functional": "GGA-PBE", "state": "relaxed", "e_tot_ev_per_cell": -19.510, "e_form_ev_per_atom": 0.4980, "lattice_angstrom": [[-2.8923, -0.3948, 1.5546], [-2.7884, -0.3165, -1.7501], [-0.7311, -9.4711, -0.2476]], "species": ["Tm", "Tm", "Cu", "Fe"], "frac_coords": [[0.9006, 0.9006, 0.2982], [0.0994, 0.0994, 0.7018], [0.0000, 0.0000, 0.0000], [0.5000, 0.5000, 0.5000]]}

---

(2)
{"formula": "TbCeHf", "functional": "GGA-PBE", "state": "relaxed", "e_tot_ev_per_cell": -20.083, "e_above_lowest_polymorph_ev_per_atom": 0.0331, "e_form_ev_per_atom": 0.1450, "lattice_angstrom": [[3.3439, 0.0000, 0.0000], [-1.6719, 2.8959, 0.0000], [0.0000, 0.0000, 8.2937]], "species": ["Tb", "Ce", "Hf"], "frac_coords": [[0.0000, 0.0000, 0.0100], [0.3333, 0.6667, 0.6532], [0.6667, 0.3333, 0.3367]]}

---

(3)
{"formula": "TcNi2PdBr", "functional": "GGA-PBE", "state": "relaxed", "e_form_raw_ev_per_atom": 1.3896, "e_tot_ev_per_cell": -21.846, "lattice_angstrom": [[4.6279, 0.0000, 0.0000], [0.0000, 5.0273, 0.0000], [0.0000, 0.0000, 4.6279]], "species": ["Tc", "Ni", "Ni", "Pd", "Br"], "frac_coords": [[0.0000, 0.5000, 0.0000], [0.0000, 0.0000, 0.5000], [0.5000, 0.0000, 0.0000], [0.0000, 0.0000, 0.0000], [0.5000, 0.5000, 0.5000]]}

---

(4)
{"formula": "VIn3Ge", "functional": "GGA-PBE", "state": "relaxed", "e_tot_ev_per_cell": -17.606, "e_above_lowest_polymorph_ev_per_atom": 0.1673, "e_form_ev_per_atom": 0.8690, "lattice_angstrom": [[5.2994, 0.0000, 0.0000], [0.0000, 5.2994, 0.0000], [0.0000, 0.0000, 5.2994]], "species": ["In", "In", "In", "Ge", "V"], "frac_coords": [[0.0000, 0.5000, 0.0000], [0.0000, 0.0000, 0.5000], [0.5000, 0.0000, 0.0000], [0.0000, 0.0000, 0.0000], [0.5000, 0.5000, 0.5000]]}

---

(5)
{"formula": "MgRuCl3", "functional": "GGA-PBE", "state": "relaxed", "e_form_raw_ev_per_atom": -0.2282, "e_tot_ev_per_cell": -17.551, "e_above_lowest_polymorph_ev_per_atom": 0.0553, "lattice_angstrom": [[-0.2871, -4.6393, 1.2217], [2.3783, -1.2005, -4.0001], [4.1665, 0.3656, 2.3675]], "species": ["Cl", "Cl", "Cl", "Mg", "Ru"], "frac_coords": [[0.0000, 0.5000, 0.0000], [0.5000, 0.0000, 0.0000], [0.0000, 0.0000, 0.5000], [0.5000, 0.5000, 0.5000], [0.0000, 0.0000, 0.0000]]}

---

(6)
{"formula": "PmLu2Pb", "functional": "GGA-PBE", "state": "relaxed", "e_tot_ev_per_cell": -18.512, "e_above_lowest_polymorph_ev_per_atom": 0.0000, "e_form_ev_per_atom": -0.2528, "lattice_angstrom": [[-0.3010, -2.1870, 4.2792], [4.5652, -1.5891, -0.4910], [1.6352, 4.0264, 2.1728]], "species": ["Lu", "Lu", "Pm", "Pb"], "frac_coords": [[0.0000, 0.5000, 0.0000], [0.0000, 0.0000, 0.5000], [0.5000, 0.5000, 0.5000], [0.5000, 0.0000, 0.0000]]}

---

(7)
{"formula": "SrScTe2O8", "functional": "GGA-PBE", "state": "relaxed", "e_form_raw_ev_per_atom": -1.7624, "e_tot_ev_per_cell": -75.112, "lattice_angstrom": [[-1.6518, 2.2231, -4.1963], [-4.5010, -2.2381, 0.1273], [-2.4001, 5.0316, 3.6100]], "species": ["O", "O", "O", "O", "O", "O", "O", "O", "Sc", "Sr", "Te", "Te"], "frac_coords": [[0.6828, 0.6834, 0.0000], [0.3172, 0.3166, 0.0000], [0.6652, 0.6660, 0.5000], [0.2158, 0.7834, 0.2211], [0.3348, 0.3340, 0.5000], [0.2158, 0.7835, 0.7789], [0.7842, 0.2165, 0.2211], [0.7842, 0.2166, 0.7789], [0.0000, 0.0000, 0.0000], [0.0000, 0.0000, 0.5000], [0.5000, 0.5000, 0.2429], [0.5000, 0.5000, 0.7571]]}

---

(8)
{"formula": "Sn2PdI2", "functional": "GGA-PBE", "state": "relaxed", "e_form_raw_ev_per_atom": 0.1259, "e_tot_ev_per_cell": -31.338, "e_above_lowest_polymorph_ev_per_atom": 0.0000, "lattice_angstrom": [[7.3052, 0.0000, 0.0000], [0.0000, 7.3052, 0.0000], [0.0000, 0.0000, 6.2138]], "species": ["Sn", "Sn", "Sn", "Sn", "Pd", "Pd", "I", "I", "I", "I"], "frac_coords": [[0.7576, 0.7424, 0.5000], [0.2576, 0.7576, 0.5000], [0.7424, 0.2424, 0.5000], [0.2424, 0.2576, 0.5000], [0.5000, 0.5000, 0.0000], [0.0000, 0.0000, 0.0000], [0.6811, 0.1811, 0.0000], [0.3189, 0.8189, 0.0000], [0.1811, 0.3189, 0.0000], [0.8189, 0.6811, 0.0000]]}